(1)
La5Dy3S8: relaxed, PBE-GGA.

Cell: 8.1063 8.1063 20.0168 Å, 90.00 90.00 120.00°
Space group R-3m (No. 166, hexagonal axes)
Asymmetric unit:
La: 0.0000 0.0000 0.0000 x3
La: 0.0000 0.0000 0.5000 x3
La: 0.0000 0.5000 0.0000 x9
Dy: 0.0000 0.5000 0.5000 x9
S: 0.0000 0.0000 0.2431 x6
S: 0.0097 0.5049 0.7549 x18

***

(2)
LaDy2S: relaxed, PBE-GGA.

Cell: 3.6708 3.6708 30.8073 Å, 90.00 90.00 120.00°
Space group R-3m (No. 166, hexagonal axes)
Asymmetric unit:
La: 0.0000 0.0000 0.0000 x3
Dy: 0.0000 0.0000 0.1133 x6
S: 0.0000 0.0000 0.5000 x3

***

(3)
LaDy3S4: relaxed, PBE-GGA.

Results
Energy relative to the lowest polymorph listed for this composition (meV per atom): 0

Cell: 8.013 11.237 3.930 Å, 90.00 90.00 90.00°
Space group Cmmm (No. 65)
Asymmetric unit:
La: 0.000 0.000 0.000 x2
Dy: 0.000 0.500 0.000 x2
Dy: 0.250 0.250 0.500 x4
S: 0.000 0.256 0.000 x4
S: 0.237 0.500 0.500 x4

***

(4)
LaDy4S5: relaxed, PBE-GGA.

Cell: 3.941 5.605 19.840 Å, 90.00 90.00 90.00°
Space group Immm (No. 71)
Asymmetric unit:
La: 0.000 0.000 0.000 x2
Dy: 0.000 0.000 0.203 x4
Dy: 0.000 0.000 0.400 x4
S: 0.000 0.500 0.000 x2
S: 0.000 0.500 0.199 x4
S: 0.000 0.500 0.393 x4

***

no.,uncorrected energy (Ry/atom),total magnetization (μB per atom),V (A^3/atom)
1,-0.4824,0.000,23.7
2,-0.3933,0.001,30.0
3,-0.4727,0.000,22.1
4,-0.4710,0.000,21.9